DFT (PBE-GGA) results for a geometry-optimized CaSmBr5 structure.

Its volume is 36.1 Å³ per atom. The formation energy without anion corrections is -1895 meV per atom. The calculation puts the total magnetization at 0.00 μB per cell.

The space group is P2_1/m (No. 11) and the conventional cell measures 8.615, 4.216 and 13.959 Å, with angles of 90.00, 94.76 and 90.00 degrees. The asymmetric unit holds Ca at (0.087, 0.250, 0.134), Sm at (0.414, 0.750, 0.347), Br at (0.080, 0.750, 0.311), Br at (0.135, 0.250, 0.927), Br at (0.322, 0.250, 0.482), Br at (0.344, 0.750, 0.138) and Br at (0.384, 0.750, 0.705).

DFT (PBE-GGA) results for a geometry-optimized Cr14MoW structure.

Its volume is 12.4 Å³ per atom. The calculation puts the total magnetization at 0.24 μB per cell. The value obtained for the formation energy is 0.026 eV/atom.

The space group is P4/mmm (No. 123) and the conventional cell measures 5.830, 5.830 and 5.838 Å, with angles of 90.00, 90.00 and 90.00 degrees. The asymmetric unit holds Cr at (0.000, 0.000, 0.000), Cr at (0.000, 0.500, 0.000), Cr at (0.000, 0.500, 0.500), Cr at (0.250, 0.250, 0.244), Cr at (0.500, 0.500, 0.000), Mo at (0.000, 0.000, 0.500) and W at (0.500, 0.500, 0.500).

DFT (PBE-GGA) results for a geometry-optimized AgRh2Cl structure.

Its volume is 16.4 Å³ per atom. The formation energy without anion corrections is 332 meV per atom. The calculation puts the total magnetization at 0.00 μB per cell.

The space group is Cmm2 (No. 35) and the conventional cell measures 2.879, 5.047 and 9.035 Å, with angles of 90.00, 90.00 and 90.00 degrees. The asymmetric unit holds Ag at (0.000, 0.000, 0.000), Rh at (0.000, 0.000, 0.496), Rh at (0.000, 0.500, 0.735) and Cl at (0.000, 0.500, 0.275).

DFT (PBE-GGA) results for a geometry-optimized Ta2IrRu structure.

Its volume is 16.2 Å³ per atom. The calculation puts the total magnetization at 0.00 μB per cell. The value obtained for the formation energy is -0.158 eV/atom.

The space group is C2/m (No. 12) and the conventional cell measures 9.192, 2.867 and 4.986 Å, with angles of 90.00, 99.96 and 90.00 degrees. The asymmetric unit holds Ta at (0.249, 0.000, 0.250), Ir at (0.000, 0.500, 0.000) and Ru at (0.000, 0.000, 0.500).

DFT (PBE-GGA) results for a geometry-optimized Rb2CuHgBr6 structure.

Its volume is 31.8 Å³ per atom. The formation energy without anion corrections is -889 meV per atom. The calculation puts the total magnetization at 0.00 μB per cell.

The space group is Fm-3m (No. 225) and the conventional cell measures 10.837, 10.837 and 10.837 Å, with angles of 90.00, 90.00 and 90.00 degrees. The asymmetric unit holds Rb at (0.250, 0.250, 0.250), Cu at (0.000, 0.000, 0.000), Hg at (0.000, 0.000, 0.500) and Br at (0.000, 0.000, 0.239).

DFT (PBE-GGA) results for a geometry-optimized Cs2FeI7 structure.

Its volume is 48.2 Å³ per atom. The formation energy without anion corrections is -635 meV per atom. The calculation puts the total magnetization at 6.00 μB per cell.

The space group is I4/mmm (No. 139) and the conventional cell measures 8.898, 8.898 and 12.184 Å, with angles of 90.00, 90.00 and 90.00 degrees. The asymmetric unit holds Cs at (0.000, 0.500, 0.250), Fe at (0.000, 0.000, 0.000), I at (0.000, 0.000, 0.254), I at (0.000, 0.000, 0.500) and I at (0.208, 0.208, 0.000).